# BaNi3F | Alexandria via LeMat-Bulk | GGA+U | optimized geometry
# Calculated volume: 116 Å³ per cell
# Total magnetic moment: 0.0 μB per cell
# Density of states at the Fermi level: 0.43 states/eV/atom
# Energy relative to the lowest polymorph listed for this composition: 8.79 eV per formula unit
data_BaNi3F
_chemical_formula_sum 'Ba1 Ni3 F1'
_cell_length_a 4.874
_cell_length_b 4.874
_cell_length_c 4.874
_cell_angle_alpha 90.00
_cell_angle_beta 90.00
_cell_angle_gamma 90.00
_space_group_name_H-M_alt 'P m -3 m'
_space_group_IT_number 221
_space_group_name_Hall '-P 4 2 3'
loop_
_atom_site_label
_atom_site_fract_x
_atom_site_fract_y
_atom_site_fract_z
Ba1 0.000 0.000 0.000
Ni1 0.000 0.000 0.500
F1 0.500 0.500 0.500